LiCdTe2: optimized geometry, PBE.

The calculation puts the volume at 531 Å³/cell. Its crystal system is tetragonal. For the energy relative to the elements, uncorrected, the calculation gives -406 meV per atom.

It has space group I-42d (No. 122), with a = 6.421 Å, b = 6.421 Å, c = 12.889 Å, α = 90.00°, β = 90.00° and γ = 90.00°. The asymmetric unit holds Li at (0.000, 0.000, 0.000), Cd at (0.000, 0.000, 0.500) and Te at (0.236, 0.250, 0.125).

LiCdTe2: optimized geometry, PBE.

The calculation puts the volume at 206 Å³/cell. Its crystal system is orthorhombic. For the energy relative to the elements, uncorrected, the calculation gives -278 meV per atom.

It has space group Cmmm (No. 65), with a = 6.518 Å, b = 7.924 Å, c = 3.993 Å, α = 90.00°, β = 90.00° and γ = 90.00°. The asymmetric unit holds Li at (0.000, 0.000, 0.000), Cd at (0.000, 0.500, 0.000) and Te at (0.250, 0.250, 0.500).

Li2CdTe2: optimized geometry, PBE.

The energy above the most stable polymorph in this dataset comes out at 0.073 eV per atom. The calculation puts the volume at 231 Å³/cell. Its crystal system is tetragonal. For the energy relative to the elements, uncorrected, the calculation gives -447 meV per atom.

It has space group P4/mbm (No. 127), with a = 7.985 Å, b = 7.985 Å, c = 3.631 Å, α = 90.00°, β = 90.00° and γ = 90.00°. The asymmetric unit holds Li at (0.124, 0.376, 0.000), Cd at (0.000, 0.000, 0.000) and Te at (0.182, 0.682, 0.500).

Li2CdTe: optimized geometry, PBE.

The energy above the most stable polymorph in this dataset comes out at 0.000 eV per atom. The calculation puts the volume at 211 Å³/cell. Its crystal system is monoclinic. For the energy relative to the elements, uncorrected, the calculation gives -525 meV per atom.

It has space group C2/m (No. 12), with a = 7.746 Å, b = 4.468 Å, c = 6.636 Å, α = 90.00°, β = 113.11° and γ = 90.00°. The asymmetric unit holds Li at (0.220, 0.000, 0.158), Cd at (0.000, 0.000, 0.500) and Te at (0.000, 0.500, 0.000).

LiCd2Te2: optimized geometry, PBE.

The energy above the most stable polymorph in this dataset comes out at 0.000 eV per atom. The calculation puts the volume at 277 Å³/cell. Its crystal system is tetragonal. For the energy relative to the elements, uncorrected, the calculation gives -344 meV per atom.

It has space group P4/mbm (No. 127), with a = 8.104 Å, b = 8.104 Å, c = 4.218 Å, α = 90.00°, β = 90.00° and γ = 90.00°. The asymmetric unit holds Li at (0.000, 0.000, 0.000), Cd at (0.127, 0.373, 0.500) and Te at (0.191, 0.691, 0.000).

Li2CdTe2: optimized geometry, PBE.

The energy above the most stable polymorph in this dataset comes out at 0.043 eV per atom. The calculation puts the volume at 276 Å³/cell. Its crystal system is tetragonal. For the energy relative to the elements, uncorrected, the calculation gives -477 meV per atom.

It has space group I4/mmm (No. 139), with a = 5.328 Å, b = 5.328 Å, c = 9.729 Å, α = 90.00°, β = 90.00° and γ = 90.00°. The asymmetric unit holds Li at (0.000, 0.500, 0.250), Cd at (0.000, 0.000, 0.000) and Te at (0.000, 0.000, 0.354).

Li2Cd2Te: optimized geometry, PBE.

The energy above the most stable polymorph in this dataset comes out at 0.000 eV per atom. The calculation puts the volume at 227 Å³/cell. Its crystal system is tetragonal. For the energy relative to the elements, uncorrected, the calculation gives -278 meV per atom.

It has space group P4/mbm (No. 127), with a = 7.193 Å, b = 7.193 Å, c = 4.386 Å, α = 90.00°, β = 90.00° and γ = 90.00°. The asymmetric unit holds Li at (0.151, 0.349, 0.000), Cd at (0.149, 0.649, 0.500) and Te at (0.000, 0.000, 0.000).

LiCdTe2: optimized geometry, PBE.

The calculation puts the volume at 208 Å³/cell. Its crystal system is tetragonal. For the energy relative to the elements, uncorrected, the calculation gives -218 meV per atom.

It has space group I4/mmm (No. 139), with a = 4.955 Å, b = 4.955 Å, c = 8.459 Å, α = 90.00°, β = 90.00° and γ = 90.00°. The asymmetric unit holds Li at (0.000, 0.000, 0.000), Cd at (0.000, 0.000, 0.500) and Te at (0.000, 0.500, 0.250).

LiCdTe2: optimized geometry, PBE.

The calculation puts the volume at 105 Å³/cell. Its crystal system is orthorhombic. For the energy relative to the elements, uncorrected, the calculation gives -267 meV per atom.

It has space group Pmmm (No. 47), with a = 4.187 Å, b = 4.367 Å, c = 5.749 Å, α = 90.00°, β = 90.00° and γ = 90.00°. The asymmetric unit holds Li at (0.000, 0.000, 0.000), Cd at (0.000, 0.500, 0.500), Te at (0.500, 0.000, 0.500) and Te at (0.500, 0.500, 0.000).

Li2CdTe: optimized geometry, PBE.

The energy above the most stable polymorph in this dataset comes out at 0.050 eV per atom. The calculation puts the volume at 186 Å³/cell. Its crystal system is monoclinic. For the energy relative to the elements, uncorrected, the calculation gives -474 meV per atom.

It has space group Cm (No. 8), with a = 10.376 Å, b = 4.095 Å, c = 4.377 Å, α = 90.00°, β = 90.34° and γ = 90.00°. The asymmetric unit holds Li at (0.000, 0.000, 0.000), Li at (0.246, 0.000, 0.505), Cd at (0.234, 0.500, 0.005) and Te at (0.027, 0.500, 0.501).

Li2Cd2Te: optimized geometry, PBE.

The energy above the most stable polymorph in this dataset comes out at 0.050 eV per atom. The calculation puts the volume at 238 Å³/cell. Its crystal system is tetragonal. For the energy relative to the elements, uncorrected, the calculation gives -228 meV per atom.

It has space group P4/mbm (No. 127), with a = 7.688 Å, b = 7.688 Å, c = 4.024 Å, α = 90.00°, β = 90.00° and γ = 90.00°. The asymmetric unit holds Li at (0.167, 0.333, 0.000), Cd at (0.129, 0.629, 0.500) and Te at (0.000, 0.000, 0.500).

LiCd2Te2: optimized geometry, PBE.

The energy above the most stable polymorph in this dataset comes out at 0.151 eV per atom. The calculation puts the volume at 300 Å³/cell. Its crystal system is tetragonal. For the energy relative to the elements, uncorrected, the calculation gives -192 meV per atom.

It has space group I4/mmm (No. 139), with a = 5.702 Å, b = 5.702 Å, c = 9.211 Å, α = 90.00°, β = 90.00° and γ = 90.00°. The asymmetric unit holds Li at (0.000, 0.000, 0.000), Cd at (0.000, 0.000, 0.344) and Te at (0.000, 0.500, 0.250).